1.
Here is crystalline Ba2NiRh at its relaxed geometry from Alexandria via LeMat-Bulk. Energies are from PBE.

Unit cell a=4.4348 b=4.4348 c=21.4354 alpha=90.00 beta=90.00 gamma=120.00
Space group R-3m (No. 166, hexagonal axes)
One atom of each set of equivalent atoms:
Ba1 0.0000 0.0000 0.2484 (multiplicity 6)
Ni1 0.0000 0.0000 0.0000 (multiplicity 3)
Rh1 0.0000 0.0000 0.5000 (multiplicity 3)

=====

2.
Here is crystalline Ba2NiRh at its relaxed geometry from Alexandria via LeMat-Bulk. Energies are from PBE.

Unit cell a=4.4632 b=4.4632 c=10.9275 alpha=90.00 beta=90.00 gamma=90.00
Space group I-4m2 (No. 119)
One atom of each set of equivalent atoms:
Ba1 0.0000 0.0000 0.0000 (multiplicity 2)
Ba2 0.0000 0.5000 0.2500 (multiplicity 2)
Ni1 0.0000 0.0000 0.5000 (multiplicity 2)
Rh1 0.0000 0.5000 0.7500 (multiplicity 2)

=====

3.
Here is crystalline BaNi2Rh at its relaxed geometry from Alexandria via LeMat-Bulk. Energies are from PBE.

Unit cell a=4.2491 b=4.2491 c=16.5048 alpha=90.00 beta=90.00 gamma=120.00
Space group R3m (No. 160, hexagonal axes)
One atom of each set of equivalent atoms:
Ba1 0.0000 0.0000 0.0000 (multiplicity 3)
Ni1 0.0000 0.0000 0.5033 (multiplicity 3)
Ni2 0.0000 0.0000 0.8194 (multiplicity 3)
Rh1 0.0000 0.0000 0.1832 (multiplicity 3)

=====

| no. | electronic total energy (eV per atom) |
| --- | --- |
| 1 | -3.901 |
| 2 | -3.905 |
| 3 | -5.260 |